{"formula": "Y2TaNiF", "functional": "GGA+U", "state": "relaxed", "spacegroup": "P4/mmm", "total_energy_ev_per_cell": -26.56, "cell": [[-3.2997, 3.8546, 2.3143], [-2.2221, 0.0952, -3.3268], [-3.2595, -4.0282, 2.0619]], "species": ["Y", "Y", "Ni", "F", "Ta"], "frac_coords": [[0.0000, 0.0000, 0.5000], [0.5000, 0.0000, 0.0000], [0.5000, 0.5000, 0.5000], [0.0000, 0.5000, 0.0000], [0.0000, 0.0000, 0.0000]]}